1.
A relaxed Dy2BiAs crystal, computed with PBE.

Formation energy from the elements in eV/atom: -1.173

Unit cell a=4.257 b=4.257 c=7.538 alpha=89.99 beta=106.41 gamma=120.00
Positions (direct):
Bi (0.000, 0.500, 0.500)
As (0.000, 0.000, 0.000)
Dy (0.516, 0.258, 0.774)
Dy (0.484, 0.742, 0.226)

***

2.
A relaxed Ba8LiCd2 crystal, computed with PBE.

Formation energy from the elements in eV/atom: -0.089
E above lowest polymorph in meV/atom: 0

Unit cell a=6.064 b=8.664 c=11.274 alpha=107.66 beta=105.60 gamma=90.00
Positions (direct):
Ba (0.597, 0.462, 0.194)
Ba (0.403, 0.538, 0.806)
Ba (0.800, 0.686, 0.600)
Ba (0.200, 0.314, 0.400)
Ba (0.966, 0.214, 0.932)
Ba (0.328, 0.035, 0.655)
Ba (0.672, 0.965, 0.345)
Ba (0.034, 0.786, 0.068)
Li (0.500, 0.000, 0.000)
Cd (0.816, 0.295, 0.632)
Cd (0.184, 0.705, 0.368)

***

3.
A relaxed CaNiIr2 crystal, computed with PBE.

Formation energy from the elements in eV/atom: 0.043
E above lowest polymorph in meV/atom: 27

Unit cell a=2.813 b=4.794 c=5.664 alpha=54.12 beta=90.00 gamma=90.00
Positions (direct):
Ir (0.000, 0.000, 0.000)
Ir (0.500, 0.500, 0.000)
Ni (0.500, 0.500, 0.500)
Ca (0.000, 0.000, 0.500)

***

4.
A relaxed Tb2Tm3Tl2 crystal, computed with PBE.

Formation energy from the elements in eV/atom: -0.195

Unit cell a=5.367 b=5.363 c=8.590 alpha=108.22 beta=90.00 gamma=120.03
Positions (direct):
Tb (0.925, 0.851, 0.276)
Tb (0.075, 0.149, 0.724)
Tm (0.500, 0.000, 0.000)
Tm (0.347, 0.693, 0.540)
Tm (0.653, 0.307, 0.460)
Tl (0.783, 0.567, 0.850)
Tl (0.217, 0.433, 0.150)

***

5.
A relaxed NbVMo3 crystal, computed with PBE.

Formation energy from the elements in eV/atom: -0.109
E above lowest polymorph in meV/atom: 0

Unit cell a=4.468 b=4.473 c=8.214 alpha=90.00 beta=105.89 gamma=90.00
Positions (direct):
Mo (0.846, 0.250, 0.692)
Mo (0.053, 0.250, 0.107)
Mo (0.653, 0.250, 0.306)
Mo (0.154, 0.750, 0.308)
Mo (0.947, 0.750, 0.893)
Mo (0.347, 0.750, 0.694)
V (0.749, 0.750, 0.499)
V (0.251, 0.250, 0.501)
Nb (0.447, 0.250, 0.894)
Nb (0.553, 0.750, 0.106)

***

6.
A relaxed MnAl4Zn crystal, computed with PBE.

Formation energy from the elements in eV/atom: 0.028
E above lowest polymorph in meV/atom: 77

Unit cell a=5.980 b=5.980 c=7.222 alpha=114.57 beta=114.57 gamma=89.95
Site moments in Bohr magnetons follow the coordinates.
Positions (direct):
Al (0.500, 0.235, 0.999)  -0.03
Al (0.235, 0.000, 0.500)  -0.03
Al (0.765, 0.500, 0.501)  -0.03
Al (0.500, 0.765, 0.001)  -0.03
Al (0.000, 0.235, 0.000)  -0.03
Al (0.235, 0.500, 0.499)  -0.03
Al (0.765, 0.000, 0.500)  -0.03
Al (0.000, 0.765, 0.000)  -0.03
Zn (0.625, 0.375, 0.750)  0.03
Zn (0.375, 0.625, 0.250)  0.03
Mn (0.875, 0.125, 0.250)  2.20
Mn (0.125, 0.875, 0.750)  2.20

***

7.
A relaxed CdTcRu2 crystal, computed with PBE.

Formation energy from the elements in eV/atom: 0.709

Unit cell a=7.156 b=7.156 c=5.760 alpha=51.60 beta=51.60 gamma=90.00
Positions (direct):
Ru (0.375, 0.426, 0.750)
Ru (0.574, 0.125, 0.250)
Ru (0.176, 0.625, 0.250)
Ru (0.875, 0.824, 0.750)
Cd (0.000, 0.000, 0.000)
Cd (0.750, 0.250, 0.500)
Tc (0.500, 0.500, 0.000)
Tc (0.250, 0.750, 0.500)

***

8.
A relaxed AcSmTe2 crystal, computed with PBE.

E above lowest polymorph in meV/atom: 26
ΔE_f (raw) in eV per atom: -1.41

Unit cell a=4.417 b=4.417 c=8.539 alpha=75.01 beta=75.01 gamma=60.00
Positions (direct):
Te (0.245, 0.245, 0.265)
Te (0.089, 0.089, 0.734)
Sm (0.496, 0.496, 0.513)
Ac (0.671, 0.671, 0.988)

***

9.
A relaxed ReSi2Sb crystal, computed with PBE.

ΔE_f (raw) in eV per atom: 0.63

Unit cell a=3.278 b=4.959 c=5.315 alpha=50.30 beta=90.00 gamma=90.00
Positions (direct):
Sb (0.000, 0.000, 0.500)
Re (0.500, 0.500, 0.500)
Si (0.000, 0.000, 0.000)
Si (0.500, 0.500, 0.000)

***

10.
A relaxed BeAgCl crystal, computed with PBE.

E above lowest polymorph in meV/atom: 823
ΔE_f (raw) in eV per atom: 0.61

Unit cell a=4.437 b=4.437 c=4.437 alpha=60.00 beta=60.00 gamma=60.00
Positions (direct):
Ag (0.750, 0.750, 0.750)
Cl (0.500, 0.500, 0.500)
Be (0.000, 0.000, 0.000)

***

11.
A relaxed KNb2CrS crystal, computed with PBE.

ΔE_f (raw) in eV per atom: 1.15

Unit cell a=4.633 b=5.341 c=4.633 alpha=90.00 beta=90.00 gamma=90.00
Site moments in Bohr magnetons follow the coordinates.
Positions (direct):
K (0.000, 0.500, 0.000)  0.02
Nb (0.000, 0.000, 0.500)  0.33
Nb (0.500, 0.000, 0.000)  0.40
Cr (0.500, 0.500, 0.500)  -0.06
S (0.000, 0.000, 0.000)  -0.01

***

12.
A relaxed CdHPtCl2 crystal, computed with PBE.

Unit cell a=5.124 b=3.376 c=5.124 alpha=90.00 beta=90.00 gamma=90.00
Positions (direct):
Pt (0.000, 0.500, 0.000)
H (0.000, 0.000, 0.000)
Cl (0.000, 0.000, 0.500)
Cl (0.500, 0.000, 0.000)
Cd (0.500, 0.500, 0.500)

***

For reference, electronic total energy by record: -5.607, -1.827, -6.333, -4.110, -10.446, -4.207, -6.749, -5.185, -6.222, -2.197, -5.844, -2.549 eV/atom.